The following is a DFT calculation (GGA-PBE) of an optimized crystal structure of CuHgH6Ir.

The structure in POSCAR format:
```
CuHgH6Ir
1.0
4.806 0.376 0.571
2.684 3.950 -1.312
0.465 -1.522 6.445
Cu Hg H Ir
1 1 6 1
Direct
0.689 0.642 0.470 Cu
0.929 0.924 0.019 Hg
0.217 0.203 0.301 H
0.241 0.190 0.641 H
0.633 0.372 0.616 H
0.871 0.770 0.665 H
0.295 0.694 0.457 H
0.768 0.847 0.328 H
0.358 0.358 0.502 Ir
```

Raw total energy in eV/atom: -3.6648
Symmetry: P1, No. 1